Record 1
PBE Ni2TeCl, relaxed; excess energy over the best structure of this formula in the dataset = 132 meV/atom; uncorrected formation energy = -0.022 eV/atom
1.0
3.259 0.000 0.000
0.000 3.514 0.000
0.000 0.000 6.255
Ni Te Cl
2 1 1
direct
0.000 0.000 0.199 Ni
0.000 0.000 0.801 Ni
0.500 0.500 0.000 Te
0.500 0.000 0.500 Cl

=====

Record 2
PBE Ni2TeCl, relaxed; excess energy over the best structure of this formula in the dataset = 526 meV/atom; uncorrected formation energy = 0.371 eV/atom
1.0
0.000 3.213 3.213
3.213 0.000 3.213
3.213 3.213 0.000
Ni Te Cl
2 1 1
direct
0.250 0.250 0.250 Ni
0.750 0.750 0.750 Ni
0.000 0.000 0.000 Te
0.500 0.500 0.500 Cl

=====

Record 3
PBE NiTeCl6, relaxed; excess energy over the best structure of this formula in the dataset = 0 meV/atom; uncorrected formation energy = -0.499 eV/atom
1.0
3.103 -6.128 0.000
3.103 6.128 0.000
-1.918 0.000 5.900
Ni Te Cl
1 1 6
direct
0.000 0.000 0.000 Ni
0.500 0.500 0.500 Te
0.094 0.369 0.232 Cl
0.249 0.249 0.753 Cl
0.369 0.094 0.232 Cl
0.631 0.906 0.768 Cl
0.751 0.751 0.247 Cl
0.906 0.631 0.768 Cl

=====

Record 4
PBE Ni2TeCl, relaxed; excess energy over the best structure of this formula in the dataset = 119 meV/atom; uncorrected formation energy = -0.035 eV/atom
1.0
3.056 -1.768 0.000
3.056 1.768 0.000
-2.022 0.000 6.386
Ni Te Cl
2 1 1
direct
0.247 0.247 0.244 Ni
0.753 0.753 0.756 Ni
0.500 0.500 0.000 Te
0.000 0.000 0.500 Cl

=====

Record 5
PBE Ni2TeCl, relaxed; excess energy over the best structure of this formula in the dataset = 10 meV/atom; uncorrected formation energy = -0.144 eV/atom
1.0
1.832 1.057 7.024
-1.832 1.057 7.024
0.000 -2.115 7.024
Ni Te Cl
2 1 1
direct
0.000 0.000 0.000 Ni
0.277 0.277 0.277 Ni
0.725 0.725 0.725 Te
0.555 0.555 0.555 Cl

=====

Record 6
PBE Ni2TeCl, relaxed; excess energy over the best structure of this formula in the dataset = 183 meV/atom; uncorrected formation energy = 0.029 eV/atom
1.0
-1.665 1.686 7.411
1.665 -1.686 7.411
1.665 1.686 -7.411
Ni Te Cl
2 1 1
direct
0.000 0.000 0.000 Ni
0.623 0.123 0.500 Ni
0.438 0.438 0.000 Te
0.180 0.680 0.500 Cl

=====

Record 7
PBE Ni2TeCl, relaxed; excess energy over the best structure of this formula in the dataset = 498 meV/atom; uncorrected formation energy = 0.344 eV/atom
1.0
4.588 0.000 0.000
0.000 4.588 0.000
0.000 0.000 3.118
Ni Te Cl
2 1 1
direct
0.000 0.500 0.000 Ni
0.500 0.000 0.000 Ni
0.000 0.000 0.500 Te
0.500 0.500 0.500 Cl

=====

Record 8
PBE Ni2TeCl, relaxed; excess energy over the best structure of this formula in the dataset = 391 meV/atom; uncorrected formation energy = 0.236 eV/atom
1.0
3.505 -3.510 0.000
3.505 3.510 0.000
-0.024 0.000 3.180
Ni Te Cl
2 1 1
direct
0.000 0.500 0.000 Ni
0.500 0.000 0.000 Ni
0.000 0.000 0.000 Te
0.500 0.500 0.000 Cl

=====

Record 9
PBE Ni2TeCl, relaxed; excess energy over the best structure of this formula in the dataset = 457 meV/atom; uncorrected formation energy = 0.303 eV/atom
1.0
3.172 0.000 0.000
0.000 3.901 0.000
0.000 0.000 5.917
Ni Te Cl
2 1 1
direct
0.000 0.000 0.000 Ni
0.000 0.500 0.500 Ni
0.500 0.000 0.500 Te
0.500 0.500 0.000 Cl

=====

Record 10
PBE Ni2TeCl, relaxed; excess energy over the best structure of this formula in the dataset = 386 meV/atom; uncorrected formation energy = 0.232 eV/atom
1.0
3.287 0.000 0.000
0.000 3.287 0.000
0.000 0.000 6.475
Ni Te Cl
2 1 1
direct
0.000 0.000 0.206 Ni
0.000 0.000 0.794 Ni
0.500 0.500 0.000 Te
0.500 0.500 0.500 Cl

=====

Record 11
PBE Ni2TeCl, relaxed; excess energy over the best structure of this formula in the dataset = 457 meV/atom; uncorrected formation energy = 0.303 eV/atom
1.0
-1.760 1.760 6.663
1.760 -1.760 6.663
1.760 1.760 -6.663
Ni Te Cl
2 1 1
direct
0.000 0.000 0.000 Ni
0.750 0.250 0.500 Ni
0.500 0.500 0.000 Te
0.250 0.750 0.500 Cl

=====

Record 12
PBE NiTeCl6, relaxed; excess energy over the best structure of this formula in the dataset = 17 meV/atom; uncorrected formation energy = -0.482 eV/atom
1.0
3.155 1.822 5.671
-3.155 1.822 5.671
0.000 -3.643 5.671
Ni Te Cl
1 1 6
direct
0.000 0.000 0.000 Ni
0.500 0.500 0.500 Te
0.088 0.390 0.762 Cl
0.238 0.912 0.610 Cl
0.390 0.762 0.088 Cl
0.610 0.238 0.912 Cl
0.762 0.088 0.390 Cl
0.912 0.610 0.238 Cl

=====

Copy entry 2 word for word.
PBE Ni2TeCl, relaxed; excess energy over the best structure of this formula in the dataset = 526 meV/atom; uncorrected formation energy = 0.371 eV/atom
1.0
0.000 3.213 3.213
3.213 0.000 3.213
3.213 3.213 0.000
Ni Te Cl
2 1 1
direct
0.250 0.250 0.250 Ni
0.750 0.750 0.750 Ni
0.000 0.000 0.000 Te
0.500 0.500 0.500 Cl

=====

Please write out number 11 again, unchanged.
PBE Ni2TeCl, relaxed; excess energy over the best structure of this formula in the dataset = 457 meV/atom; uncorrected formation energy = 0.303 eV/atom
1.0
-1.760 1.760 6.663
1.760 -1.760 6.663
1.760 1.760 -6.663
Ni Te Cl
2 1 1
direct
0.000 0.000 0.000 Ni
0.750 0.250 0.500 Ni
0.500 0.500 0.000 Te
0.250 0.750 0.500 Cl

=====

The highest excess energy over the best structure of this formula in the dataset belongs to which entry?
number 2

=====

Which value of uncorrected formation energy does entry 2 give?
0.371 eV/atom